Entry 1:
A plane-wave DFT calculation with PBE was carried out for AlSn2Se after structural relaxation.

Structure (extended XYZ):
```
4
Lattice="0.0000 3.6174 3.6174 3.6174 0.0000 3.6174 3.6174 3.6174 0.0000" Properties=species:S:1:pos:R:3 pbc="T T T"
Al 0.0000 0.0000 0.0000
Sn 1.8087 1.8087 1.8087
Sn 5.4261 5.4261 5.4261
Se 3.6174 3.6174 3.6174
```

* uncorrected formation energy: 0.54 eV/f.u.

Entry 2:
A plane-wave DFT calculation with PBE was carried out for Cs3Mg2HgBr9 after structural relaxation.

Structure (extended XYZ):
```
15
Lattice="7.8094 0.0000 0.0000 -3.9047 6.7632 0.0000 0.0000 0.0000 9.5889" Properties=species:S:1:pos:R:3 pbc="T T T"
Cs 0.0000 0.0000 0.0000
Cs 0.0000 4.5088 6.3651
Cs 3.9047 2.2544 3.2238
Mg 0.0000 4.5088 1.5155
Mg 3.9047 2.2544 8.0734
Hg 0.0000 0.0000 4.7945
Br -1.9524 3.3816 0.0000
Br 0.0000 2.3159 3.1278
Br -1.8991 5.6052 3.1278
Br 2.0056 1.1580 6.4611
Br 3.9047 0.0000 0.0000
Br 1.9524 3.3816 0.0000
Br 1.8991 5.6052 3.1278
Br 5.8038 1.1580 6.4611
Br 3.9047 4.4473 6.4611
```

* uncorrected formation energy: -20.71 eV/f.u.

Entry 3:
A plane-wave DFT calculation with PBE was carried out for BiTeC after structural relaxation.

Structure (extended XYZ):
```
6
Lattice="3.7812 -2.3495 0.0000 3.7812 2.3495 0.0000 -2.4558 0.0000 10.4334" Properties=species:S:1:pos:R:3 pbc="T T T"
Bi 0.0000 0.0000 0.0000
Bi 0.1904 0.0000 6.3189
Te 2.8889 0.0000 8.3482
Te 5.2590 0.0000 4.6554
C 2.7986 0.6252 1.1173
C 2.7986 -0.6252 1.1173
```

* uncorrected formation energy: 1.66 eV/f.u.

Entry 4:
A plane-wave DFT calculation with PBE was carried out for CuSe4 after structural relaxation.

Structure (extended XYZ):
```
5
Lattice="-3.0064 3.0064 3.0064 3.0064 -3.0064 3.0064 3.0064 3.0064 -3.0064" Properties=species:S:1:pos:R:3 pbc="T T T"
Cu 0.0000 0.0000 0.0000
Se 1.5032 1.5032 -1.5032
Se 1.5032 -1.5032 1.5032
Se -1.5032 1.5032 1.5032
Se 1.5032 1.5032 1.5032
```

* uncorrected formation energy: 1.48 eV/f.u.

Entry 5:
A plane-wave DFT calculation with PBE was carried out for NaGaTe2 after structural relaxation.

Structure (extended XYZ):
```
16
Lattice="8.2183 0.0000 0.0000 0.0000 8.7739 0.0000 0.0000 0.0000 7.2250" Properties=species:S:1:pos:R:3 pbc="T T T"
Na 1.0561 0.0765 0.0000
Na 3.0531 4.4635 3.6125
Na 5.1652 4.3104 0.0000
Na 7.1622 8.6974 3.6125
Ga 0.1803 5.4332 5.3001
Ga 3.9289 1.0463 1.6876
Ga 4.2895 7.7276 5.3001
Ga 8.0380 3.3407 1.6876
Te 0.3772 5.7447 2.6734
Te 1.5005 1.5867 2.8465
Te 2.6086 5.9736 6.4590
Te 3.7320 1.3577 6.2860
Te 4.4864 7.4162 2.6734
Te 5.6097 2.8003 2.8465
Te 6.7178 7.1872 6.4590
Te 7.8411 3.0292 6.2860
```

* uncorrected formation energy: -2.22 eV/f.u.

Entry 6:
A plane-wave DFT calculation with PBE was carried out for LiCa2InBr6 after structural relaxation.

Structure (extended XYZ):
```
10
Lattice="3.7557 2.1684 6.7084 -3.7557 2.1684 6.7084 0.0000 -4.3367 6.7084" Properties=species:S:1:pos:R:3 pbc="T T T"
Li 0.0000 0.0000 0.0000
Ca 0.0000 0.0000 6.5141
Ca 0.0000 0.0000 16.3271
In 0.0000 0.0000 10.5554
Br -1.2395 -2.1094 8.1572
Br -3.0059 -0.1417 11.6446
Br -1.2070 2.1281 8.1572
Br 1.6257 -2.5323 11.6446
Br 2.4465 -0.0187 8.1572
Br 1.3802 2.6741 11.6446
```

* uncorrected formation energy: -16.25 eV/f.u.